Record 1
NbVI2O: optimized geometry, GGA+U.

Structure (POSCAR):
```
NbVI2O
1.0
5.683 0.000 0.000
0.000 5.683 0.000
0.000 0.000 3.684
I V Nb O
2 1 1 1
Cartesian
0.000 2.842 0.000
2.842 0.000 0.000
0.000 0.000 0.000
2.842 2.842 1.842
0.000 0.000 1.842
```

Results
- Electronic total energy: -0.188 hartree per atom
- Energy above the lowest structure with this stoichiometry: 0.0 meV/atom
- Space-group type: P4/mmm, No. 123

Record 2
NbVI2O: optimized geometry, GGA+U.

Structure (POSCAR):
```
NbVI2O
1.0
-4.639 3.453 0.702
-0.774 0.135 -5.772
-2.314 -3.157 0.236
Nb O I V
1 1 2 1
Cartesian
0.000 0.000 0.000
-1.157 -1.578 0.118
-0.387 0.067 -2.886
-2.320 1.726 0.351
-3.863 0.215 -2.417
```

Results
- Electronic total energy: -0.187 hartree per atom
- Energy above the lowest structure with this stoichiometry: 22.3 meV/atom
- Space-group type: P4/mmm, No. 123